RbZnGaI4: relaxed, GGA-PBE.

Computed properties:
Space-group type: P2_1/m
Total DFT energy (no corrections) (eV per cell): -33.71
Crystal system: monoclinic
Uncorrected formation energy (eV per atom): -0.770
Magnetization (μB/atom): 0.000

Cell lengths 7.7795, 8.1787, 10.2134 Å; angles 90.00, 103.00, 90.00 degrees
Fractional positions:
Rb  0.2160  0.2500  0.0411
Rb  0.7840  0.7500  0.9589
Zn  0.2255  0.7500  0.7782
Zn  0.7745  0.2500  0.2218
Ga  0.2010  0.2500  0.5006
Ga  0.7990  0.7500  0.4994
I  0.0032  0.0027  0.7135
I  0.0032  0.4973  0.7135
I  0.3409  0.7500  0.0388
I  0.4543  0.7500  0.6259
I  0.5457  0.2500  0.3741
I  0.6591  0.2500  0.9612
I  0.9968  0.5027  0.2865
I  0.9968  0.9973  0.2865